1.
A crystal of CdCuB2 relaxed with PBEsol. Source: Alexandria, functional SCAN.

a = 3.6274 Å, b = 3.6274 Å, c = 7.7256 Å
α = 103.58°, β = 103.58°, γ = 90.00°
Last column: nearest neighbours and their distance in Å.
Sites, in units of the cell vectors:
B 0.6250 0.3750 0.7500  2 B 1.81
B 0.1250 0.3750 0.7500  2 B 1.81
B 0.6250 0.3750 0.2500  2 B 1.81
B 0.6250 0.8750 0.2500  2 B 1.81
Cd 0.2500 0.7500 0.5000  4 Cu 2.56, 8 B 2.73
Cd 0.0000 0.0000 0.0000  4 Cu 2.56, 8 B 2.73
Cu 0.7500 0.2500 0.5000  4 B 2.04
Cu 0.5000 0.5000 0.0000  4 B 2.04

Properties
Volume   12.0 Å³ per atom
Calculated density   6.843 g/cm3
Fermi-level density of states   0.674 states/eV/f.u.
VASP energy   -116.25 eV/cell

=====

2.
A crystal of CdCuB2F relaxed with PBEsol. Source: Alexandria, functional SCAN.

a = 4.2201 Å, b = 4.2201 Å, c = 4.4377 Å
α = 90.00°, β = 90.00°, γ = 90.00°
Last column: nearest neighbours and their distance in Å.
Sites, in units of the cell vectors:
Cu 0.5000 0.5000 0.5000  4 F 2.98, 8 B 3.06
Cd 0.0000 0.0000 0.0000  4 B 2.11, 2 F 2.22
B 0.5000 0.0000 0.0000  2 Cd 2.11
B 0.0000 0.5000 0.0000  2 Cd 2.11
F 0.0000 0.0000 0.5000  2 Cd 2.22

Properties
Volume   15.8 Å³ per atom
Calculated density   4.551 g/cm3
Fermi-level density of states   1.443 states/eV/f.u.
Formation energy (no corrections)   1.351 eV per atom
VASP energy   -57.26 eV/cell